Entry 1:
Crystalline SrTaNb3 at its relaxed geometry, computed with PBE-GGA.

Values from the calculation:
DFT total energy, eV per atom: -6.14
DFT formation energy, eV/atom: 2.61
DOS at the Fermi energy, states/eV per cell: 9.52
Crystal system: cubic

Lattice parameters (Å, degrees): 4.811 4.811 4.811 90.00 90.00 90.00
Space group Pm-3m (No. 221)
Symmetry-distinct sites (fractional):
Sr 0.000 0.000 0.000 (multiplicity 1)
Ta 0.500 0.500 0.500 (multiplicity 1)
Nb 0.000 0.000 0.500 (multiplicity 3)

---

Entry 2:
Crystalline KTbMgS3 at its relaxed geometry, computed with PBE-GGA.

Values from the calculation:
DFT total energy, eV per atom: -4.95
ΔE_f (raw), meV per atom: -1668
DOS at the Fermi energy, states/eV per cell: 0.00
Crystal system: monoclinic

Lattice parameters (Å, degrees): 8.721 4.122 9.831 90.00 106.95 90.00
Space group P2_1/m (No. 11)
Symmetry-distinct sites (fractional):
K 0.201 0.250 0.212 (multiplicity 2)
Tb 0.334 0.750 0.863 (multiplicity 2)
Mg 0.084 0.250 0.609 (multiplicity 2)
S 0.116 0.250 0.860 (multiplicity 2)
S 0.199 0.750 0.546 (multiplicity 2)
S 0.459 0.750 0.149 (multiplicity 2)

---

Entry 3:
Crystalline ScInGaCu at its relaxed geometry, computed with PBE-GGA.

Values from the calculation:
DFT total energy, eV per atom: -4.28
DFT formation energy, eV/atom: -0.23
DOS at the Fermi energy, states/eV per cell: 5.78
Crystal system: cubic

Lattice parameters (Å, degrees): 6.647 6.647 6.647 90.00 90.00 90.00
Space group F-43m (No. 216)
Symmetry-distinct sites (fractional):
Sc 0.000 0.000 0.000 (multiplicity 4)
In 0.000 0.000 0.500 (multiplicity 4)
Ga 0.250 0.250 0.750 (multiplicity 4)
Cu 0.250 0.250 0.250 (multiplicity 4)

---

Entry 4:
Crystalline TlHg2Ru at its relaxed geometry, computed with PBE-GGA.

Values from the calculation:
DFT total energy, eV per atom: -2.51
DFT formation energy, eV/atom: 0.56
DOS at the Fermi energy, states/eV per cell: 4.15
Crystal system: orthorhombic

Lattice parameters (Å, degrees): 3.546 4.626 5.047 90.00 90.00 90.00
Space group Pmmm (No. 47)
Symmetry-distinct sites (fractional):
Tl 0.000 0.000 0.000 (multiplicity 1)
Hg 0.000 0.500 0.500 (multiplicity 1)
Hg 0.500 0.000 0.500 (multiplicity 1)
Ru 0.500 0.500 0.000 (multiplicity 1)

---

Entry 5:
Crystalline NaCo3S at its relaxed geometry, computed with PBE-GGA.

Values from the calculation:
DFT total energy, eV per atom: -3.36
ΔE_f (raw), meV per atom: 1994
DOS at the Fermi energy, states/eV per cell: 7.97
Crystal system: cubic

Lattice parameters (Å, degrees): 4.438 4.438 4.438 90.00 90.00 90.00
Space group Pm-3m (No. 221)
Symmetry-distinct sites (fractional):
Na 0.000 0.000 0.000 (multiplicity 1)
Co 0.000 0.000 0.500 (multiplicity 3)
S 0.500 0.500 0.500 (multiplicity 1)

---

Entry 6:
Crystalline Na2SnGeSe4 at its relaxed geometry, computed with PBE-GGA.

Values from the calculation:
DFT total energy, eV per atom: -3.81
ΔE_f (raw), meV per atom: -662
Crystal system: orthorhombic

Lattice parameters (Å, degrees): 9.915 7.738 6.323 90.00 90.00 90.00
Space group Pmn2_1 (No. 31)
Symmetry-distinct sites (fractional):
Na 0.248 0.178 0.000 (multiplicity 4)
Sn 0.000 0.704 0.016 (multiplicity 2)
Ge 0.000 0.344 0.559 (multiplicity 2)
Se 0.000 0.365 0.941 (multiplicity 2)
Se 0.000 0.644 0.447 (multiplicity 2)
Se 0.208 0.202 0.474 (multiplicity 4)